A plane-wave DFT calculation with PBE-GGA was carried out for crystalline AlV2CoH at its relaxed geometry.

a b c (Å): 3.7520 3.7520 3.7986
angles (deg): 90.00 90.00 90.00
Site moments in Bohr magnetons follow the coordinates.
Element x y z (fractional)
Co  0.0000  0.0000  0.5000  0.29
V  0.0000  0.5000  0.0000  0.03
H  0.0000  0.0000  0.0000  0.00
Al  0.5000  0.5000  0.5000  0.00
V  0.5000  0.0000  0.0000  0.03

Values from the calculation:
symmetry: P4/mmm (123)
energy: -33.5 eV for the cell shown



A plane-wave DFT calculation with PBE-GGA was carried out for crystalline BaSeS at its relaxed geometry.

a b c (Å): 4.7549 13.8790 8.7834
angles (deg): 90.01 90.00 99.86
Element x y z (fractional)
Se  0.1585  0.8258  0.0005
Se  0.3326  0.1742  0.4995
Se  0.0000  0.5000  0.0000
S  0.0000  0.0000  0.5000
Ba  0.1669  0.3330  0.2492
Ba  0.5002  0.0000  0.2500
S  0.3274  0.6665  0.5010
S  0.3391  0.6665  0.0010
Ba  0.8331  0.6670  0.7508
Se  0.6674  0.8258  0.5005
Se  0.5000  0.5000  0.5000
S  0.6726  0.3335  0.4990
Ba  0.4998  0.0000  0.7500
Ba  0.1661  0.3330  0.7492
S  0.6609  0.3335  0.9990
Se  0.8415  0.1742  0.9995
Ba  0.8339  0.6670  0.2508
S  0.0000  0.0000  0.0000

Values from the calculation:
symmetry: C2/c (15)
formation energy from raw total energies: -1.3447 eV per atom



A plane-wave DFT calculation with PBE-GGA was carried out for crystalline LiTcRu2 at its relaxed geometry.

a b c (Å): 4.9570 4.9570 4.9570
angles (deg): 144.55 129.90 62.87
Element x y z (fractional)
Li  0.2490  0.7490  0.5000
Ru  0.7474  0.2474  0.5000
Ru  0.0053  0.0053  0.0000
Tc  0.4983  0.4983  0.0000

Values from the calculation:
symmetry: Imm2 (44)
energy of formation: 0.206 eV/atom



A plane-wave DFT calculation with PBE-GGA was carried out for crystalline Er4InOs at its relaxed geometry.

a b c (Å): 9.5768 9.5768 9.5768
angles (deg): 60.00 60.00 60.00
Element x y z (fractional)
Er  0.7927  0.4024  0.4024
In  0.1672  0.4984  0.1672
Os  0.6112  0.6112  0.6112
In  0.1672  0.1672  0.1672
Er  0.4024  0.4024  0.4024
Os  0.6112  0.6112  0.1665
Os  0.1665  0.6112  0.6112
Er  0.5574  0.9426  0.5574
In  0.1672  0.1672  0.4984
Er  0.1949  0.8051  0.1949
Er  0.4024  0.4024  0.7927
Er  0.5574  0.5574  0.9426
Er  0.8051  0.1949  0.1949
Er  0.8051  0.8051  0.1949
Er  0.9426  0.5574  0.5574
Er  0.8051  0.1949  0.8051
Er  0.1949  0.1949  0.8051
Er  0.1949  0.8051  0.8051
Er  0.9426  0.5574  0.9426
In  0.4984  0.1672  0.1672
Er  0.4024  0.7927  0.4024
Os  0.6112  0.1665  0.6112
Er  0.5574  0.9426  0.9426
Er  0.9426  0.9426  0.5574

Values from the calculation:
symmetry: F-43m (216)
energy of formation: -0.360 eV/atom



A plane-wave DFT calculation with PBE-GGA was carried out for crystalline Ta2Be2GaCo5 at its relaxed geometry.

a b c (Å): 3.1247 8.5637 8.5637
angles (deg): 90.00 90.00 90.00
Element x y z (fractional)
Co  0.5000  0.5681  0.7145
Be  0.0000  0.1183  0.6183
Co  0.5000  0.7855  0.9319
Co  0.5000  0.9319  0.2145
Be  0.0000  0.3817  0.1183
Co  0.5000  0.0681  0.7855
Co  0.5000  0.2855  0.5681
Ta  0.0000  0.1767  0.3233
Co  0.5000  0.2145  0.0681
Ta  0.0000  0.3233  0.8233
Be  0.0000  0.6183  0.8817
Ta  0.0000  0.8233  0.6767
Ta  0.0000  0.6767  0.1767
Be  0.0000  0.8817  0.3817
Co  0.5000  0.5000  0.0000
Ga  0.0000  0.0000  0.0000
Ga  0.0000  0.5000  0.5000
Co  0.5000  0.0000  0.5000
Co  0.5000  0.4319  0.2855
Co  0.5000  0.7145  0.4319

Values from the calculation:
symmetry: P4/mbm (127)
energy of formation: -0.343 eV/atom



A plane-wave DFT calculation with PBE-GGA was carried out for crystalline TlFeBr4 at its relaxed geometry.

a b c (Å): 6.4868 6.4868 6.4868
angles (deg): 60.00 60.00 60.00
Site moments in Bohr magnetons follow the coordinates.
Element x y z (fractional)
Br  0.3755  0.3755  0.3755  0.40
Tl  0.0000  0.0000  0.0000  0.01
Br  0.3755  0.3755  0.8735  0.40
Br  0.3755  0.8735  0.3755  0.40
Fe  0.7500  0.7500  0.7500  3.58
Br  0.8735  0.3755  0.3755  0.40

Values from the calculation:
symmetry: F-43m (216)
formation energy from raw total energies: 0.6613 eV per atom



A plane-wave DFT calculation with PBE-GGA was carried out for crystalline CaTbHo2In4 at its relaxed geometry.

a b c (Å): 5.3307 5.3307 9.2704
angles (deg): 73.29 73.29 60.00
Element x y z (fractional)
In  0.6258  0.6258  0.1225
Ho  0.7515  0.7515  0.7454
Tb  0.0000  0.0000  0.0000
In  0.1241  0.1241  0.6277
Ca  0.5000  0.5000  0.5000
In  0.3742  0.3742  0.8775
In  0.8759  0.8759  0.3723
Ho  0.2485  0.2485  0.2546

Values from the calculation:
symmetry: R-3m (166)
energy of formation: -0.453 eV/atom



A plane-wave DFT calculation with PBE-GGA was carried out for crystalline SrMg4 at its relaxed geometry.

a b c (Å): 7.6684 7.6684 7.6684
angles (deg): 144.69 144.69 50.79
Element x y z (fractional)
Mg  0.3929  0.3929  0.0000
Sr  0.0000  0.0000  0.0000
Mg  0.6071  0.6071  0.0000
Mg  0.7500  0.2500  0.5000
Mg  0.2500  0.7500  0.5000

Values from the calculation:
symmetry: I4/mmm (139)
energy of formation: 0.021 eV/atom



A plane-wave DFT calculation with PBE-GGA was carried out for crystalline CaTa3Ag at its relaxed geometry.

a b c (Å): 4.7476 4.7476 4.7476
angles (deg): 90.00 90.00 90.00
Element x y z (fractional)
Ta  0.0000  0.0000  0.5000
Ta  0.5000  0.0000  0.0000
Ag  0.5000  0.5000  0.5000
Ta  0.0000  0.5000  0.0000
Ca  0.0000  0.0000  0.0000

Values from the calculation:
symmetry: Pm-3m (221)
energy of formation: 2.601 eV/atom



A plane-wave DFT calculation with PBE-GGA was carried out for crystalline LaNdAu at its relaxed geometry.

a b c (Å): 7.4333 10.0209 9.6509
angles (deg): 121.28 112.65 90.00
Element x y z (fractional)
Au  0.4015  0.1757  0.3541
Au  0.7896  0.7511  0.0023
Au  0.7874  0.2489  0.9977
La  0.7617  0.0522  0.6044
Au  0.4015  0.6784  0.3541
Nd  0.0336  0.0000  0.0000
La  0.1593  0.4463  0.3927
La  0.7666  0.5537  0.6073
Nd  0.4795  0.8696  0.7438
Nd  0.7357  0.6258  0.2562
La  0.3726  0.7515  0.0030
Nd  0.7357  0.1304  0.2562
La  0.3696  0.2485  0.9970
Au  0.0474  0.8243  0.6459
Au  0.0474  0.3216  0.6459
Nd  0.4795  0.3742  0.7438
La  0.1573  0.9478  0.3956
Nd  0.0336  0.5000  0.0000

Values from the calculation:
symmetry: Ima2 (46)
energy of formation: -0.520 eV/atom



The following calculated volume values (in Å³/atom) correspond, in order, to the records above: 10.70, 31.73, 13.40, 25.88, 11.46, 32.17, 26.90, 29.97, 21.40, 30.47.